[1]
{"formula": "NiB3Pd", "functional": "PBE", "state": "relaxed", "e_tot_ev_per_cell": -26.32, "density_g_cm3": 6.12, "ef_ev_per_atom": 0.937, "lattice_angstrom": [[-1.520, -2.400, 2.478], [3.196, 0.041, 2.000], [-1.300, 2.907, 2.018]], "species": ["Ni", "Pd", "B", "B", "B"], "fractional_positions": [[0.000, 0.000, 0.000], [0.500, 0.500, 0.500], [0.000, 0.500, 0.000], [0.000, 0.000, 0.500], [0.500, 0.000, 0.000]]}



[2]
{"formula": "NiB2Pd2", "functional": "PBE", "state": "relaxed", "e_tot_ev_per_cell": -58.97, "density_g_cm3": 9.30, "ef_ev_per_atom": 0.007, "lattice_angstrom": [[-4.127, 2.305, -2.928], [-3.705, -3.005, 2.858], [-0.242, 2.479, 2.293]], "species": ["B", "B", "B", "B", "Ni", "Ni", "Pd", "Pd", "Pd", "Pd"], "fractional_positions": [[0.884, 0.616, 0.000], [0.116, 0.384, 0.000], [0.616, 0.116, 0.000], [0.384, 0.884, 0.000], [0.000, 0.000, 0.000], [0.500, 0.500, 0.000], [0.177, 0.677, 0.500], [0.823, 0.323, 0.500], [0.323, 0.177, 0.500], [0.677, 0.823, 0.500]]}



What did the first record say?
{"formula": "NiB3Pd", "functional": "PBE", "state": "relaxed", "e_tot_ev_per_cell": -26.32, "density_g_cm3": 6.12, "ef_ev_per_atom": 0.937, "lattice_angstrom": [[-1.520, -2.400, 2.478], [3.196, 0.041, 2.000], [-1.300, 2.907, 2.018]], "species": ["Ni", "Pd", "B", "B", "B"], "fractional_positions": [[0.000, 0.000, 0.000], [0.500, 0.500, 0.500], [0.000, 0.500, 0.000], [0.000, 0.000, 0.500], [0.500, 0.000, 0.000]]}